## w
{
  "formula": "Pm3Nd13",
  "functional": "PBE",
  "state": "optimized geometry",
  "cell": [[-5.8730, -3.6574, -2.6466], [-2.3807, -2.0828, 8.1612], [-4.5913, 7.4511, -0.1086]],
  "species": ["Pm", "Pm", "Pm", "Nd", "Nd", "Nd", "Nd", "Nd", "Nd", "Nd", "Nd", "Nd", "Nd", "Nd", "Nd", "Nd"],
  "frac_coords": [[0.7501, 0.0417, 0.9583], [0.0000, 0.2912, 0.7088], [0.2499, 0.0417, 0.9583], [0.7502, 0.9591, 0.5421], [0.7502, 0.5414, 0.4586], [0.7502, 0.4579, 0.0409], [0.0000, 0.7089, 0.7919], [0.0000, 0.2081, 0.2911], [0.0000, 0.7919, 0.2081], [0.2498, 0.9591, 0.5421], [0.2498, 0.5414, 0.4586], [0.2498, 0.4579, 0.0409], [0.5000, 0.2911, 0.7089], [0.5000, 0.7088, 0.7919], [0.5000, 0.2081, 0.2912], [0.5000, 0.7919, 0.2081]],
  "space_group": "Amm2, No. 38"
}

## x
{
  "formula": "Pm3Nd13",
  "functional": "PBE",
  "state": "optimized geometry",
  "cell": [[7.3515, 0.0130, 0.0000], [-0.0132, 7.3515, 0.0000], [0.0000, 0.0000, 10.3955]],
  "species": ["Pm", "Pm", "Pm", "Nd", "Nd", "Nd", "Nd", "Nd", "Nd", "Nd", "Nd", "Nd", "Nd", "Nd", "Nd", "Nd"],
  "frac_coords": [[0.9998, 0.0002, 0.2502], [0.7507, 0.2493, 0.0000], [0.9998, 0.0002, 0.7498], [0.5002, 0.0002, 0.2498], [0.5002, 0.4998, 0.2492], [0.9998, 0.4998, 0.2498], [0.7507, 0.7507, 0.0000], [0.2493, 0.2493, 0.0000], [0.2493, 0.7507, 0.0000], [0.5002, 0.0002, 0.7502], [0.5002, 0.4998, 0.7508], [0.9998, 0.4998, 0.7502], [0.7502, 0.2498, 0.5000], [0.7502, 0.7502, 0.5000], [0.2498, 0.2498, 0.5000], [0.2498, 0.7502, 0.5000]],
  "space_group": "Amm2, No. 38"
}

Which of them is most stable, and which least? Most stable: x; least stable: w.

## w
{
  "formula": "Pm8Nd3",
  "functional": "PBE",
  "state": "optimized geometry",
  "cell": [[5.1598, 0.0000, 0.0000], [-2.5799, 5.6722, -1.2474], [0.0000, -0.6327, 13.1853]],
  "species": ["Pm", "Pm", "Pm", "Pm", "Pm", "Pm", "Pm", "Pm", "Nd", "Nd", "Nd"],
  "frac_coords": [[0.7272, 0.4543, 0.0909], [0.2728, 0.5457, 0.9091], [0.5454, 0.0909, 0.8183], [0.4546, 0.9091, 0.1817], [0.8180, 0.6361, 0.7272], [0.1820, 0.3639, 0.2728], [0.6365, 0.2731, 0.4546], [0.3635, 0.7269, 0.5454], [0.0000, 0.0000, 0.0000], [0.9092, 0.8184, 0.3634], [0.0908, 0.1816, 0.6366]],
  "space_group": "C2/m, No. 12"
}

## x
{
  "formula": "Pm8Nd3",
  "functional": "PBE",
  "state": "optimized geometry",
  "cell": [[7.2793, 0.1717, 0.1675], [0.3564, 7.2726, 0.1675], [0.3564, 0.3475, 7.2662]],
  "species": ["Pm", "Pm", "Pm", "Pm", "Pm", "Pm", "Pm", "Pm", "Nd", "Nd", "Nd"],
  "frac_coords": [[0.8890, 0.3057, 0.1456], [0.3057, 0.1456, 0.8890], [0.1456, 0.8890, 0.3057], [0.3780, 0.3780, 0.3780], [0.6220, 0.6220, 0.6220], [0.8544, 0.1110, 0.6943], [0.6943, 0.8544, 0.1110], [0.1110, 0.6943, 0.8544], [0.5000, 0.0000, 0.5000], [0.0000, 0.5000, 0.5000], [0.5000, 0.5000, 0.0000]],
  "space_group": "R-3, No. 148"
}

Which of them is most stable, and which least? Most stable: w; least stable: x.

## w
{
  "formula": "Pm5Pr2Nd3",
  "functional": "PBE",
  "state": "optimized geometry",
  "cell": [[8.4205, 1.3304, -3.8083], [0.0366, 8.4887, -3.8909], [-1.4478, -1.5682, 11.1655]],
  "species": ["Pm", "Pm", "Pm", "Pm", "Pm", "Pm", "Pm", "Pm", "Pm", "Pm", "Pr", "Pr", "Pr", "Pr", "Nd", "Nd", "Nd", "Nd", "Nd", "Nd"],
  "frac_coords": [[0.2765, 0.5265, 0.0531], [0.7235, 0.4735, 0.9469], [0.0277, 0.7777, 0.5554], [0.5278, 0.2778, 0.5556], [0.9723, 0.2223, 0.4446], [0.4722, 0.7222, 0.4444], [0.8745, 0.6231, 0.7466], [0.1255, 0.3769, 0.2534], [0.3721, 0.1234, 0.7466], [0.6279, 0.8766, 0.2534], [0.7696, 0.0207, 0.7484], [0.2304, 0.9793, 0.2516], [0.4788, 0.7277, 0.7484], [0.5212, 0.2723, 0.2516], [0.2235, 0.9735, 0.9469], [0.7765, 0.0265, 0.0531], [0.7294, 0.4804, 0.2511], [0.2706, 0.5196, 0.7489], [0.0217, 0.7706, 0.2511], [0.9783, 0.2294, 0.7489]],
  "space_group": "C2/c, No. 15"
}

## x
{
  "formula": "Pm5Pr2Nd3",
  "functional": "PBE",
  "state": "optimized geometry",
  "cell": [[6.9569, 0.0000, 0.0000], [3.4784, 11.7873, 2.9340], [3.4784, 5.9568, 10.5861]],
  "species": ["Pm", "Pm", "Pm", "Pm", "Pm", "Pm", "Pm", "Pm", "Pm", "Pm", "Pr", "Pr", "Pr", "Pr", "Nd", "Nd", "Nd", "Nd", "Nd", "Nd"],
  "frac_coords": [[0.2500, 0.5000, 0.5000], [0.7500, 0.5000, 0.5000], [0.5003, 0.7497, 0.7497], [0.9997, 0.2503, 0.2503], [0.4997, 0.2503, 0.2503], [0.0003, 0.7497, 0.7497], [0.1251, 0.4672, 0.2825], [0.8749, 0.5328, 0.7175], [0.6251, 0.2825, 0.4672], [0.3749, 0.7175, 0.5328], [0.1253, 0.7751, 0.9743], [0.8747, 0.2249, 0.0257], [0.6253, 0.9743, 0.7751], [0.3747, 0.0257, 0.2249], [0.2500, 0.0000, 0.0000], [0.7500, 0.0000, 0.0000], [0.3732, 0.3774, 0.8762], [0.6268, 0.6226, 0.1238], [0.8732, 0.8762, 0.3774], [0.1268, 0.1238, 0.6226]],
  "space_group": "Ibam, No. 72"
}

Which of them is most stable, and which least? Most stable: w; least stable: x.

## w
{
  "formula": "PmPr2Nd2",
  "functional": "PBE",
  "state": "optimized geometry",
  "cell": [[-0.1311, -3.5591, -5.1635], [1.4871, -5.4868, -2.6617], [-7.7670, -0.6356, 4.5142]],
  "species": ["Pm", "Pr", "Pr", "Nd", "Nd"],
  "frac_coords": [[0.0000, 0.0000, 0.0000], [0.6779, 0.6767, 0.7982], [0.3221, 0.3233, 0.2018], [0.8917, 0.8934, 0.5891], [0.1083, 0.1066, 0.4109]],
  "space_group": "P-1, No. 2"
}

## x
{
  "formula": "PmPr2Nd2",
  "functional": "PBE",
  "state": "optimized geometry",
  "cell": [[-0.3527, 6.0966, -2.0396], [-4.0401, 1.5915, 5.4559], [8.7865, 1.0882, 1.7331]],
  "species": ["Pm", "Pm", "Pr", "Pr", "Pr", "Pr", "Nd", "Nd", "Nd", "Nd"],
  "frac_coords": [[0.0000, 0.0000, 0.0000], [0.5000, 0.0000, 0.0000], [0.7500, 0.4016, 0.8032], [0.7500, 0.8302, 0.6605], [0.2500, 0.5984, 0.1968], [0.2500, 0.1698, 0.3395], [0.7500, 0.4088, 0.3396], [0.2500, 0.0692, 0.6604], [0.2500, 0.5912, 0.6604], [0.7500, 0.9308, 0.3396]],
  "space_group": "Cmcm, No. 63"
}

Which of them is most stable, and which least? Most stable: w; least stable: x.

## w
{
  "formula": "Pm8PrNd2",
  "functional": "PBE",
  "state": "optimized geometry",
  "cell": [[-3.2130, -1.7767, -3.6502], [5.6926, 1.4505, -5.7167], [3.1752, -7.8444, 4.6948]],
  "species": ["Pm", "Pm", "Pm", "Pm", "Pm", "Pm", "Pm", "Pm", "Pr", "Nd", "Nd"],
  "frac_coords": [[0.5909, 0.4554, 0.1817], [0.3180, 0.0913, 0.6361], [0.1365, 0.1818, 0.2730], [0.0453, 0.7266, 0.0907], [0.8635, 0.8182, 0.7270], [0.6820, 0.9087, 0.3639], [0.4091, 0.5446, 0.8183], [0.9547, 0.2734, 0.9093], [0.5000, 0.0000, 0.0000], [0.2274, 0.6367, 0.4549], [0.7726, 0.3633, 0.5451]],
  "space_group": "C2/m, No. 12"
}

## x
{
  "formula": "Pm8PrNd2",
  "functional": "PBE",
  "state": "optimized geometry",
  "cell": [[-3.0659, 4.0270, -2.6833], [1.9478, -5.2135, -8.7242], [-4.0021, -7.6929, -5.6470]],
  "species": ["Pm", "Pm", "Pm", "Pm", "Pm", "Pm", "Pm", "Pm", "Pr", "Nd", "Nd"],
  "frac_coords": [[0.2697, 0.1359, 0.6043], [0.2697, 0.6043, 0.1359], [0.7303, 0.8641, 0.3957], [0.2373, 0.5446, 0.5446], [0.7303, 0.3957, 0.8641], [0.2304, 0.1870, 0.1870], [0.7696, 0.8130, 0.8130], [0.7627, 0.4554, 0.4554], [0.0000, 0.0000, 0.0000], [0.7439, 0.2843, 0.2843], [0.2561, 0.7157, 0.7157]],
  "space_group": "C2/m, No. 12"
}

Which of them is most stable, and which least? Most stable: w; least stable: x.

## w
{
  "formula": "Pm3PrNd4",
  "functional": "PBE",
  "state": "optimized geometry",
  "cell": [[7.3486, 0.0000, 0.0000], [0.0000, 7.3437, 0.0000], [0.0000, 0.0000, 10.3928]],
  "species": ["Pr", "Pr", "Nd", "Nd", "Nd", "Nd", "Nd", "Nd", "Nd", "Nd", "Pm", "Pm", "Pm", "Pm", "Pm", "Pm"],
  "frac_coords": [[0.5001, 0.8107, 0.0000], [0.4999, 0.3107, 0.5000], [0.0001, 0.8107, 0.0000], [0.5002, 0.3104, 0.0000], [0.7510, 0.0606, 0.7499], [0.2490, 0.5606, 0.7501], [0.4998, 0.8104, 0.5000], [0.9999, 0.3107, 0.5000], [0.2490, 0.5606, 0.2499], [0.7510, 0.0606, 0.2501], [0.0001, 0.3104, 0.0000], [0.2491, 0.0606, 0.7498], [0.7509, 0.5606, 0.7502], [0.9999, 0.8104, 0.5000], [0.7509, 0.5606, 0.2498], [0.2491, 0.0606, 0.2502]],
  "space_group": "Pmna, No. 53"
}

## x
{
  "formula": "Pm3PrNd4",
  "functional": "PBE",
  "state": "optimized geometry",
  "cell": [[6.4067, 0.0000, 0.0000], [0.0000, 7.4086, 0.0000], [0.0000, 0.0000, 11.9198]],
  "species": ["Pm", "Pm", "Pm", "Pm", "Pm", "Pm", "Pr", "Pr", "Nd", "Nd", "Nd", "Nd", "Nd", "Nd", "Nd", "Nd"],
  "frac_coords": [[0.4807, 0.6242, 0.0000], [0.1485, 0.6249, 0.2501], [0.6485, 0.3751, 0.2499], [0.9807, 0.3758, 0.5000], [0.6485, 0.3751, 0.7501], [0.1485, 0.6249, 0.7499], [0.9804, 0.3753, 0.0000], [0.4804, 0.6247, 0.5000], [0.9811, 0.8740, 0.0000], [0.4803, 0.1247, 0.0000], [0.1479, 0.1254, 0.2508], [0.6479, 0.8746, 0.2492], [0.9803, 0.8753, 0.5000], [0.4811, 0.1260, 0.5000], [0.6479, 0.8746, 0.7508], [0.1479, 0.1254, 0.7492]],
  "space_group": "Pmn2_1, No. 31"
}

Which of them is most stable, and which least? Most stable: w; least stable: x.

## w
{
  "formula": "Pm2PrNd7",
  "functional": "PBE",
  "state": "optimized geometry",
  "cell": [[-1.6186, -1.1774, -2.9328], [9.2373, -3.3424, -3.7562], [-4.4756, -7.7180, 5.5687]],
  "species": ["Pm", "Pm", "Pr", "Nd", "Nd", "Nd", "Nd", "Nd", "Nd", "Nd"],
  "frac_coords": [[0.5000, 0.8291, 0.1709], [0.5000, 0.1709, 0.8291], [0.0000, 0.0000, 0.0000], [0.0000, 0.6755, 0.3245], [0.0000, 0.3245, 0.6755], [0.5000, 0.1274, 0.3861], [0.5000, 0.8726, 0.6139], [0.5000, 0.3861, 0.1274], [0.5000, 0.6139, 0.8726], [0.5000, 0.5000, 0.5000]],
  "space_group": "Cmmm, No. 65"
}

## x
{
  "formula": "Pm2PrNd7",
  "functional": "PBE",
  "state": "optimized geometry",
  "cell": [[5.6678, 0.0000, 0.0000], [0.0000, 9.3626, -0.5145], [0.0000, -4.6831, 8.1235]],
  "species": ["Pm", "Pm", "Pr", "Nd", "Nd", "Nd", "Nd", "Nd", "Nd", "Nd"],
  "frac_coords": [[0.5000, 0.7031, 0.2969], [0.5000, 0.2969, 0.7031], [0.0000, 0.0000, 0.0000], [0.0000, 0.7726, 0.2274], [0.0000, 0.2274, 0.7726], [0.5000, 0.0657, 0.2950], [0.5000, 0.9343, 0.7050], [0.5000, 0.2950, 0.0657], [0.5000, 0.7050, 0.9343], [0.5000, 0.5000, 0.5000]],
  "space_group": "Cmmm, No. 65"
}

Which of them is most stable, and which least? Most stable: w; least stable: x.

## w
{
  "formula": "PmPr2Nd7",
  "functional": "PBE",
  "state": "optimized geometry",
  "cell": [[-4.0473, -1.7029, 3.3609], [-5.1357, -2.8072, -7.6068], [6.2652, -5.4966, 4.7596]],
  "species": ["Pm", "Pr", "Pr", "Nd", "Nd", "Nd", "Nd", "Nd", "Nd", "Nd"],
  "frac_coords": [[0.0000, 0.0000, 0.0000], [0.5000, 0.7033, 0.2967], [0.5000, 0.2967, 0.7033], [0.0000, 0.7832, 0.2168], [0.0000, 0.2168, 0.7832], [0.5000, 0.0697, 0.2921], [0.5000, 0.9303, 0.7079], [0.5000, 0.2921, 0.0697], [0.5000, 0.7079, 0.9303], [0.5000, 0.5000, 0.5000]],
  "space_group": "Cmmm, No. 65"
}

## x
{
  "formula": "PmPr2Nd7",
  "functional": "PBE",
  "state": "optimized geometry",
  "cell": [[-1.5478, -2.5001, 1.8679], [-4.1994, -7.1616, -13.0649], [9.4105, 3.0559, 11.8878]],
  "species": ["Pm", "Pr", "Pr", "Nd", "Nd", "Nd", "Nd", "Nd", "Nd", "Nd"],
  "frac_coords": [[0.0000, 0.0000, 0.0000], [0.5000, 0.7953, 0.2071], [0.5000, 0.2047, 0.7929], [0.0000, 0.6888, 0.3094], [0.0000, 0.3112, 0.6906], [0.5000, 0.1455, 0.3445], [0.5000, 0.8545, 0.6555], [0.5000, 0.3438, 0.1446], [0.5000, 0.6562, 0.8554], [0.5000, 0.5000, 0.5000]],
  "space_group": "P2/m, No. 10"
}

Which of them is most stable, and which least? Most stable: x; least stable: w.

## w
{
  "formula": "PmPr4Nd6",
  "functional": "PBE",
  "state": "optimized geometry",
  "cell": [[7.6351, -2.9414, -5.5725], [-5.2655, 8.1684, 1.8847], [-1.8961, 2.9414, 9.2603]],
  "species": ["Pm", "Pr", "Pr", "Pr", "Pr", "Nd", "Nd", "Nd", "Nd", "Nd", "Nd"],
  "frac_coords": [[0.0000, 0.0000, 0.0000], [0.0000, 0.6324, 0.0122], [0.3797, 0.3676, 0.3676], [0.0000, 0.0122, 0.6324], [0.6203, 0.9878, 0.9878], [0.0000, 0.7993, 0.4480], [0.0000, 0.4480, 0.7993], [0.3513, 0.5520, 0.5520], [0.5000, 0.5000, 0.0000], [0.6487, 0.2007, 0.2007], [0.5000, 0.0000, 0.5000]],
  "space_group": "I-42m, No. 121"
}

## x
{
  "formula": "PmPr4Nd6",
  "functional": "PBE",
  "state": "optimized geometry",
  "cell": [[7.7165, 0.0000, 0.0000], [0.0000, 7.7165, 0.0000], [-3.8582, -3.8582, 6.8868]],
  "species": ["Pm", "Pr", "Pr", "Pr", "Pr", "Nd", "Nd", "Nd", "Nd", "Nd", "Nd"],
  "frac_coords": [[0.5000, 0.5000, 0.0000], [0.0907, 0.7453, 0.8360], [0.9093, 0.9093, 0.1640], [0.7453, 0.0907, 0.8360], [0.2547, 0.2547, 0.1640], [0.9119, 0.4614, 0.3733], [0.4614, 0.9119, 0.3733], [0.5386, 0.5386, 0.6267], [0.0000, 0.5000, 0.0000], [0.0881, 0.0881, 0.6267], [0.5000, 0.0000, 0.0000]],
  "space_group": "I-42m, No. 121"
}

Which of them is most stable, and which least? Most stable: w; least stable: x.

## w
{
  "formula": "Pm2Pr5Nd3",
  "functional": "PBE",
  "state": "optimized geometry",
  "cell": [[6.9524, 0.0000, 0.0000], [3.4762, 11.8940, 2.9977], [3.4762, 6.0466, 10.6721]],
  "species": ["Pm", "Pm", "Pm", "Pm", "Pr", "Pr", "Pr", "Pr", "Pr", "Pr", "Pr", "Pr", "Pr", "Pr", "Nd", "Nd", "Nd", "Nd", "Nd", "Nd"],
  "frac_coords": [[0.1236, 0.7835, 0.9693], [0.8764, 0.2165, 0.0307], [0.6236, 0.9693, 0.7835], [0.3764, 0.0307, 0.2165], [0.2500, 0.5000, 0.5000], [0.7500, 0.5000, 0.5000], [0.4987, 0.7513, 0.7513], [0.0013, 0.2487, 0.2487], [0.5013, 0.2487, 0.2487], [0.9987, 0.7513, 0.7513], [0.1259, 0.4726, 0.2757], [0.8741, 0.5274, 0.7243], [0.6259, 0.2757, 0.4726], [0.3741, 0.7243, 0.5274], [0.2500, 0.0000, 0.0000], [0.7500, 0.0000, 0.0000], [0.3766, 0.3725, 0.8743], [0.6234, 0.6275, 0.1257], [0.8766, 0.8743, 0.3725], [0.1234, 0.1257, 0.6275]],
  "space_group": "Ibam, No. 72"
}

## x
{
  "formula": "Pm2Pr5Nd3",
  "functional": "PBE",
  "state": "optimized geometry",
  "cell": [[5.9985, 0.0000, 1.3311], [2.2723, 3.4980, 3.9414], [-0.3286, -1.1746, 15.6624]],
  "species": ["Pm", "Pm", "Pr", "Pr", "Pr", "Pr", "Pr", "Nd", "Nd", "Nd"],
  "frac_coords": [[0.4007, 0.9975, 0.2011], [0.5993, 0.0025, 0.7989], [0.0000, 0.0000, 0.0000], [0.1996, 0.0021, 0.5986], [0.8004, 0.9979, 0.4014], [0.6995, 0.5004, 0.1005], [0.3005, 0.4996, 0.8995], [0.5000, 0.5000, 0.5000], [0.0991, 0.5035, 0.2982], [0.9009, 0.4965, 0.7018]],
  "space_group": "C2/m, No. 12"
}

Which of them is most stable, and which least? Most stable: x; least stable: w.